## KSc2Sb (GGA-PBE)

Data for a relaxed structure of KSc2Sb.

Geometry as CIF:
```
data_KSc2Sb
_chemical_formula_sum 'K2 Sc4 Sb2'
_cell_length_a 6.651
_cell_length_b 10.411
_cell_length_c 3.250
_cell_angle_alpha 90.00
_cell_angle_beta 90.00
_cell_angle_gamma 90.00
_symmetry_space_group_name_H-M 'C m m m'
_symmetry_Int_Tables_number 65
_symmetry_space_group_name_Hall '-C 2 2'
loop_
_atom_site_label
_atom_site_type_symbol
_atom_site_fract_x
_atom_site_fract_y
_atom_site_fract_z
K1 K 0.000 0.000 0.000
Sc1 Sc 0.250 0.250 0.500
Sb1 Sb 0.000 0.500 0.000
```

***

## Nd3Br (GGA-PBE)

Data for a relaxed structure of Nd3Br.

Geometry as CIF:
```
data_Nd3Br
_chemical_formula_sum 'Nd6 Br2'
_cell_length_a 7.0169
_cell_length_b 7.0169
_cell_length_c 5.7945
_cell_angle_alpha 90.00
_cell_angle_beta 90.00
_cell_angle_gamma 120.00
_symmetry_space_group_name_H-M 'P 63/m m c'
_symmetry_Int_Tables_number 194
_symmetry_space_group_name_Hall '-P 6c 2c'
loop_
_atom_site_label
_atom_site_type_symbol
_atom_site_fract_x
_atom_site_fract_y
_atom_site_fract_z
Nd1 Nd 0.1667 0.3334 0.2500
Br1 Br 0.3333 0.6667 0.7500
```

Summary:
**ΔE to the lowest computed polymorph**: 0 meV per atom

***

E_tot: -4.219 -4.105 (eV per atom)